HfScNb2 (meta-GGA SCAN, PBEsol geometry); energy of formation = 0.2296 eV/atom; N(E_F) = 6.69 states/eV per cell
1.0
0.0000 3.3720 3.3720
3.3720 0.0000 3.3720
3.3720 3.3720 0.0000
Hf Sc Nb
1 1 2
Cartesian
0.0000 0.0000 0.0000
3.3720 3.3720 3.3720
1.6860 1.6860 1.6860
5.0580 5.0580 5.0580